1.
Compound: SmAlZn5
Source: Alexandria via LeMat-Bulk
Functional: GGA-PBE
Structure: optimized geometry

a = 8.744 Å, b = 5.159 Å, c = 10.685 Å
α = 90.00°, β = 90.00°, γ = 90.00°
Atoms (fractional coordinates):
Sm1 0.237 0.250 0.060
Sm2 0.263 0.750 0.560
Sm3 0.737 0.250 0.440
Sm4 0.763 0.750 0.940
Al1 0.140 0.750 0.854
Al2 0.360 0.250 0.354
Al3 0.640 0.750 0.646
Al4 0.860 0.250 0.146
Zn1 0.048 0.750 0.093
Zn2 0.066 0.010 0.308
Zn3 0.066 0.490 0.308
Zn4 0.081 0.250 0.521
Zn5 0.198 0.250 0.749
Zn6 0.302 0.750 0.249
Zn7 0.419 0.750 0.021
Zn8 0.434 0.510 0.808
Zn9 0.434 0.990 0.808
Zn10 0.452 0.250 0.593
Zn11 0.548 0.750 0.407
Zn12 0.566 0.010 0.192
Zn13 0.566 0.490 0.192
Zn14 0.581 0.250 0.979
Zn15 0.698 0.250 0.751
Zn16 0.802 0.750 0.251
Zn17 0.919 0.750 0.479
Zn18 0.934 0.510 0.692
Zn19 0.934 0.990 0.692
Zn20 0.952 0.250 0.907

* E_form: -0.24 eV/atom

---

2.
Compound: YTlNi3
Source: Alexandria via LeMat-Bulk
Functional: GGA-PBE
Structure: optimized geometry

a = 4.802 Å, b = 4.802 Å, c = 4.802 Å
α = 90.00°, β = 90.00°, γ = 90.00°
Atoms (fractional coordinates):
Y1 0.000 0.000 0.000
Tl1 0.500 0.500 0.500
Ni1 0.000 0.000 0.500
Ni2 0.000 0.500 0.000
Ni3 0.500 0.000 0.000

* energy above the lowest structure with this stoichiometry: 444 meV/atom
* E_form: 1.10 eV/atom

---

3.
Compound: TbZnAs
Source: Alexandria via LeMat-Bulk
Functional: GGA-PBE
Structure: optimized geometry

a = 4.187 Å, b = 4.187 Å, c = 4.113 Å
α = 90.00°, β = 90.00°, γ = 120.00°
Atoms (fractional coordinates):
Tb1 0.000 0.000 0.000
Zn1 0.333 0.667 0.600
As1 0.667 0.333 0.445

* E_form: -0.75 eV/atom

---

4.
Compound: LaNbI2O
Source: Alexandria via LeMat-Bulk
Functional: GGA-PBE
Structure: optimized geometry

a = 5.836 Å, b = 5.836 Å, c = 3.947 Å
α = 90.00°, β = 90.00°, γ = 90.00°
Atoms (fractional coordinates):
La1 0.000 0.000 0.000
Nb1 0.500 0.500 0.500
I1 0.000 0.500 0.500
I2 0.500 0.000 0.500
O1 0.500 0.500 0.000

* energy above the lowest structure with this stoichiometry: 0 meV/atom
* E_form (uncorrected): -0.87 eV per atom

---

5.
Compound: TiCo3Ge
Source: Alexandria via LeMat-Bulk
Functional: GGA-PBE
Structure: optimized geometry

a = 4.287 Å, b = 4.287 Å, c = 4.287 Å
α = 90.00°, β = 90.00°, γ = 90.00°
Atoms (fractional coordinates):
Ti1 0.000 0.000 0.000
Co1 0.000 0.000 0.500
Co2 0.000 0.500 0.000
Co3 0.500 0.000 0.000
Ge1 0.500 0.500 0.500

* energy above the lowest structure with this stoichiometry: 1071 meV/atom
* E_form: 1.05 eV/atom

---

6.
Compound: TbB3N3
Source: Alexandria via LeMat-Bulk
Functional: GGA-PBE
Structure: optimized geometry

a = 4.807 Å, b = 4.807 Å, c = 4.807 Å
α = 90.00°, β = 90.00°, γ = 90.00°
Atoms (fractional coordinates):
Tb1 0.000 0.000 0.000
Tb2 0.500 0.500 0.500
B1 0.000 0.250 0.500
B2 0.000 0.750 0.500
B3 0.250 0.500 0.000
B4 0.500 0.000 0.250
B5 0.500 0.000 0.750
B6 0.750 0.500 0.000
N1 0.000 0.500 0.250
N2 0.000 0.500 0.750
N3 0.250 0.000 0.500
N4 0.500 0.250 0.000
N5 0.500 0.750 0.000
N6 0.750 0.000 0.500

* E_form (uncorrected): 0.22 eV per atom

---

7.
Compound: Fe2AgAs2
Source: Alexandria via LeMat-Bulk
Functional: GGA-PBE
Structure: optimized geometry

a = 5.852 Å, b = 5.852 Å, c = 5.852 Å
α = 141.94°, β = 141.94°, γ = 54.92°
Atoms (fractional coordinates):
Fe1 0.116 0.116 0.000
Fe2 0.884 0.884 0.000
Ag1 0.500 0.500 0.000
As1 0.250 0.750 0.500
As2 0.750 0.250 0.500

* energy above the lowest structure with this stoichiometry: 141 meV/atom
* E_form: 0.28 eV/atom

---

8.
Compound: V2BiBr
Source: Alexandria via LeMat-Bulk
Functional: GGA-PBE
Structure: optimized geometry

a = 4.941 Å, b = 4.941 Å, c = 4.941 Å
α = 60.00°, β = 60.00°, γ = 60.00°
Atoms (fractional coordinates):
V1 0.250 0.250 0.250
V2 0.750 0.750 0.750
Bi1 0.000 0.000 0.000
Br1 0.500 0.500 0.500

* energy above the lowest structure with this stoichiometry: 0 meV/atom
* E_form (uncorrected): 0.51 eV per atom

---

9.
Compound: TaTlTc4
Source: Alexandria via LeMat-Bulk
Functional: GGA-PBE
Structure: optimized geometry

a = 5.212 Å, b = 5.212 Å, c = 5.212 Å
α = 60.00°, β = 60.00°, γ = 60.00°
Atoms (fractional coordinates):
Ta1 0.000 0.000 0.000
Tl1 0.750 0.750 0.750
Tc1 0.376 0.376 0.376
Tc2 0.376 0.376 0.873
Tc3 0.376 0.873 0.376
Tc4 0.873 0.376 0.376

* E_form: 0.28 eV/atom

---

10.
Compound: K2GaSi2
Source: Alexandria via LeMat-Bulk
Functional: GGA-PBE
Structure: optimized geometry

a = 6.739 Å, b = 6.739 Å, c = 5.648 Å
α = 90.00°, β = 90.00°, γ = 90.00°
Atoms (fractional coordinates):
K1 0.180 0.320 0.000
K2 0.320 0.820 0.000
K3 0.680 0.180 0.000
K4 0.820 0.680 0.000
Ga1 0.000 0.000 0.500
Ga2 0.500 0.500 0.500
Si1 0.125 0.625 0.500
Si2 0.375 0.125 0.500
Si3 0.625 0.875 0.500
Si4 0.875 0.375 0.500

* E_form (uncorrected): 0.16 eV per atom

---

11.
Compound: PmPaN
Source: Alexandria via LeMat-Bulk
Functional: GGA-PBE
Structure: optimized geometry

a = 4.334 Å, b = 4.334 Å, c = 4.334 Å
α = 60.00°, β = 60.00°, γ = 60.00°
Atoms (fractional coordinates):
Pm1 0.000 0.000 0.000
Pa1 0.500 0.500 0.500
N1 0.250 0.250 0.250

* energy above the lowest structure with this stoichiometry: 783 meV/atom
* E_form (uncorrected): 0.01 eV per atom

---

12.
Compound: PrNdCdSi
Source: Alexandria via LeMat-Bulk
Functional: GGA-PBE
Structure: optimized geometry

a = 5.293 Å, b = 5.293 Å, c = 5.293 Å
α = 60.00°, β = 60.00°, γ = 60.00°
Atoms (fractional coordinates):
Pr1 0.000 0.000 0.000
Nd1 0.500 0.500 0.500
Cd1 0.750 0.750 0.750
Si1 0.250 0.250 0.250

* E_form (uncorrected): -0.38 eV per atom

---

13.
Compound: ReTcP
Source: Alexandria via LeMat-Bulk
Functional: GGA-PBE
Structure: optimized geometry

a = 6.713 Å, b = 6.713 Å, c = 4.438 Å
α = 90.00°, β = 90.00°, γ = 155.32°
Atoms (fractional coordinates):
Re1 0.054 0.946 0.750
Re2 0.946 0.054 0.250
Tc1 0.373 0.627 0.750
Tc2 0.627 0.373 0.250
P1 0.290 0.710 0.250
P2 0.710 0.290 0.750

* energy above the lowest structure with this stoichiometry: 14 meV/atom
* E_form: -0.23 eV/atom

---

14.
Compound: LiNd2Pd9
Source: Alexandria via LeMat-Bulk
Functional: GGA-PBE
Structure: optimized geometry

a = 4.193 Å, b = 4.193 Å, c = 11.840 Å
α = 90.00°, β = 90.00°, γ = 90.00°
Atoms (fractional coordinates):
Li1 0.000 0.000 0.000
Nd1 0.000 0.000 0.322
Nd2 0.000 0.000 0.678
Pd1 0.000 0.500 0.147
Pd2 0.000 0.500 0.500
Pd3 0.000 0.500 0.853
Pd4 0.500 0.000 0.147
Pd5 0.500 0.000 0.500
Pd6 0.500 0.000 0.853
Pd7 0.500 0.500 0.000
Pd8 0.500 0.500 0.323
Pd9 0.500 0.500 0.677

* E_form: -0.58 eV/atom

---

15.
Compound: Pr2YErIn2
Source: Alexandria via LeMat-Bulk
Functional: GGA-PBE
Structure: optimized geometry

a = 5.260 Å, b = 10.035 Å, c = 6.854 Å
α = 90.00°, β = 90.00°, γ = 90.00°
Atoms (fractional coordinates):
Pr1 0.000 0.039 0.000
Pr2 0.000 0.961 0.500
Pr3 0.500 0.181 0.277
Pr4 0.500 0.819 0.777
Y1 0.500 0.462 0.931
Y2 0.500 0.538 0.431
Er1 0.000 0.323 0.653
Er2 0.000 0.677 0.153
In1 0.000 0.367 0.180
In2 0.000 0.633 0.680
In3 0.500 0.155 0.752
In4 0.500 0.845 0.252

* E_form: -0.36 eV/atom

---

16.
Compound: CaSi
Source: Alexandria via LeMat-Bulk
Functional: GGA-PBE
Structure: optimized geometry

a = 3.236 Å, b = 3.236 Å, c = 4.235 Å
α = 90.00°, β = 90.00°, γ = 90.00°
Atoms (fractional coordinates):
Ca1 0.000 0.000 0.000
Si1 0.500 0.500 0.500

* E_form (uncorrected): -0.26 eV per atom

---

17.
Compound: TlSiOF2
Source: Alexandria via LeMat-Bulk
Functional: GGA-PBE
Structure: optimized geometry

a = 4.538 Å, b = 4.538 Å, c = 4.268 Å
α = 90.00°, β = 90.00°, γ = 90.00°
Atoms (fractional coordinates):
Tl1 0.000 0.000 0.000
Si1 0.500 0.500 0.500
O1 0.000 0.000 0.500
F1 0.000 0.500 0.000
F2 0.500 0.000 0.000

* energy above the lowest structure with this stoichiometry: 1142 meV/atom
* E_form (uncorrected): -0.54 eV per atom

---

18.
Compound: YSiAs2
Source: Alexandria via LeMat-Bulk
Functional: GGA-PBE
Structure: optimized geometry

a = 3.351 Å, b = 3.351 Å, c = 8.098 Å
α = 90.00°, β = 90.00°, γ = 90.00°
Atoms (fractional coordinates):
Y1 0.000 0.000 0.000
Si1 0.500 0.500 0.736
As1 0.000 0.000 0.616
As2 0.500 0.500 0.232

* E_form (uncorrected): -0.17 eV per atom

---

19.
Compound: SrPH
Source: Alexandria via LeMat-Bulk
Functional: GGA-PBE
Structure: optimized geometry

a = 4.285 Å, b = 4.285 Å, c = 4.285 Å
α = 65.91°, β = 65.91°, γ = 65.91°
Atoms (fractional coordinates):
Sr1 0.000 0.000 0.000
P1 0.500 0.500 0.500
H1 0.645 0.645 0.645

* energy above the lowest structure with this stoichiometry: 0 meV/atom

---

20.
Compound: CaLaTh2
Source: Alexandria via LeMat-Bulk
Functional: GGA-PBE
Structure: optimized geometry

a = 12.468 Å, b = 12.468 Å, c = 12.468 Å
α = 16.66°, β = 16.66°, γ = 16.66°
Atoms (fractional coordinates):
Ca1 0.000 0.000 0.000
La1 0.832 0.832 0.832
Th1 0.418 0.418 0.418
Th2 0.580 0.580 0.580

* energy above the lowest structure with this stoichiometry: 0 meV/atom
* E_form: 0.13 eV/atom

---

21.
Compound: Na2H3Pd
Source: Alexandria via LeMat-Bulk
Functional: GGA-PBE
Structure: optimized geometry

a = 5.498 Å, b = 5.498 Å, c = 5.515 Å
α = 98.74°, β = 98.74°, γ = 121.29°
Atoms (fractional coordinates):
Na1 0.000 0.000 0.000
Na2 0.172 0.828 0.500
Na3 0.500 0.500 0.500
Na4 0.828 0.172 0.500
H1 0.080 0.459 0.183
H2 0.325 0.325 0.811
H3 0.459 0.080 0.183
H4 0.541 0.920 0.817
H5 0.675 0.675 0.189
H6 0.920 0.541 0.817
Pd1 0.337 0.663 0.000
Pd2 0.663 0.337 0.000

* energy above the lowest structure with this stoichiometry: 143 meV/atom

---

22.
Compound: AlCd4Co
Source: Alexandria via LeMat-Bulk
Functional: GGA-PBE
Structure: optimized geometry

a = 5.590 Å, b = 5.590 Å, c = 5.590 Å
α = 60.00°, β = 60.00°, γ = 60.00°
Atoms (fractional coordinates):
Al1 0.000 0.000 0.000
Cd1 0.126 0.625 0.625
Cd2 0.625 0.126 0.625
Cd3 0.625 0.625 0.126
Cd4 0.625 0.625 0.625
Co1 0.250 0.250 0.250

* E_form: 0.52 eV/atom

---

23.
Compound: Sr2AcUP4
Source: Alexandria via LeMat-Bulk
Functional: GGA-PBE
Structure: optimized geometry

a = 7.427 Å, b = 4.287 Å, c = 7.441 Å
α = 90.00°, β = 109.43°, γ = 90.00°
Atoms (fractional coordinates):
Sr1 0.000 0.000 0.000
Sr2 0.000 0.500 0.500
Ac1 0.500 0.000 0.500
U1 0.500 0.500 0.000
P1 0.275 0.500 0.227
P2 0.284 0.000 0.784
P3 0.716 0.000 0.216
P4 0.725 0.500 0.773

* E_form: -1.12 eV/atom

---

24.
Compound: KSn
Source: Alexandria via LeMat-Bulk
Functional: GGA-PBE
Structure: optimized geometry

a = 7.209 Å, b = 7.209 Å, c = 7.336 Å
α = 90.00°, β = 90.00°, γ = 90.00°
Atoms (fractional coordinates):
K1 0.171 0.171 0.000
K2 0.329 0.671 0.500
K3 0.671 0.329 0.500
K4 0.829 0.829 0.000
Sn1 0.131 0.131 0.500
Sn2 0.369 0.631 0.000
Sn3 0.631 0.369 0.000
Sn4 0.869 0.869 0.500

* E_form: 0.01 eV/atom

---

25.
Compound: Sr2MgBr
Source: Alexandria via LeMat-Bulk
Functional: GGA-PBE
Structure: optimized geometry

a = 6.779 Å, b = 6.779 Å, c = 6.779 Å
α = 143.00°, β = 116.79°, γ = 75.56°
Atoms (fractional coordinates):
Sr1 0.214 0.214 0.000
Sr2 0.786 0.786 0.000
Mg1 0.500 0.000 0.500
Br1 0.000 0.500 0.500

* energy above the lowest structure with this stoichiometry: 162 meV/atom
* E_form (uncorrected): -0.56 eV per atom

---

26.
Compound: Tm2ThTl4
Source: Alexandria via LeMat-Bulk
Functional: GGA-PBE
Structure: optimized geometry

a = 5.189 Å, b = 5.189 Å, c = 7.763 Å
α = 90.00°, β = 90.00°, γ = 90.00°
Atoms (fractional coordinates):
Tm1 0.000 0.000 0.000
Tm2 0.500 0.500 0.500
Th1 0.000 0.000 0.500
Tl1 0.000 0.500 0.225
Tl2 0.000 0.500 0.775
Tl3 0.500 0.000 0.225
Tl4 0.500 0.000 0.775

* energy above the lowest structure with this stoichiometry: 8 meV/atom
* E_form: -0.12 eV/atom